Here is an optimized crystal structure of Na2CaBeCo from Alexandria. Energies are from GGA-PBE.

total DFT energy (no corrections)	-1.444	eV per atom
V	37.5	A^3/atom
magnetic moment	2.0	μB per cell
symmetry	No. 123
calculated formation energy	1.650	eV/atom

Lattice parameters (Å, degrees): 6.042 5.139 6.042 90.00 90.00 90.00
Each line ends with the local moment (μB).
Sites, in units of the cell vectors:
Ca1 0.000 0.000 0.000  -0.03
Be1 0.000 0.500 0.000  -0.02
Na1 0.000 0.000 0.500  0.00
Na2 0.500 0.000 0.000  -0.01
Co1 0.500 0.500 0.500  2.12